[1]
# Ba4Tl3BiO12

A relaxed structure of Ba4Tl3BiO12 (PBE-GGA, Alexandria).

Properties
* raw formation energy: -1443 meV/atom
* DOS at the Fermi energy: 0.6788 states/eV per atom
* symmetry: Im-3m (229)

Cell lengths 7.5629, 7.5629, 7.5629 Å; angles 109.47, 109.47, 109.47 degrees
With the nearest neighbours (Å) after each atom.
Element x y z (fractional)
1 Ba 0.0000 0.0000 0.5000  12 O 3.09
2 Ba 0.0000 0.5000 0.0000  12 O 3.09
3 Ba 0.5000 0.0000 0.0000  12 O 3.09
4 Ba 0.5000 0.5000 0.5000  12 O 3.09
5 Tl 0.0000 0.5000 0.5000  6 O 2.18-2.25
6 Tl 0.5000 0.0000 0.5000  6 O 2.18-2.25
7 Tl 0.5000 0.5000 0.0000  6 O 2.18-2.25
8 Bi 0.0000 0.0000 0.0000  6 O 2.12
9 O 0.0000 0.2425 0.2425  1 Bi 2.12, 1 Tl 2.25
10 O 0.0000 0.7575 0.7575  1 Bi 2.12, 1 Tl 2.25
11 O 0.2425 0.0000 0.2425  1 Bi 2.12, 1 Tl 2.25
12 O 0.2425 0.2425 0.0000  1 Bi 2.12, 1 Tl 2.25
13 O 0.2500 0.5000 0.7500  2 Tl 2.18
14 O 0.2500 0.7500 0.5000  2 Tl 2.18
15 O 0.5000 0.2500 0.7500  2 Tl 2.18
16 O 0.5000 0.7500 0.2500  2 Tl 2.18
17 O 0.7500 0.2500 0.5000  2 Tl 2.18
18 O 0.7500 0.5000 0.2500  2 Tl 2.18
19 O 0.7575 0.0000 0.7575  1 Bi 2.12, 1 Tl 2.25
20 O 0.7575 0.7575 0.0000  1 Bi 2.12, 1 Tl 2.25

***

[2]
# Ba3TmBi2O6

A relaxed structure of Ba3TmBi2O6 (PBE-GGA, Alexandria).

Properties
* raw formation energy: -2154 meV/atom
* DOS at the Fermi energy: 0.1756 states/eV per atom
* symmetry: P-3m1 (164)

Cell lengths 6.1196, 6.1196, 7.2269 Å; angles 90.00, 90.00, 120.00 degrees
With the nearest neighbours (Å) after each atom.
Element x y z (fractional)
1 Ba 0.0000 0.0000 0.0000  6 O 2.95
2 Ba 0.3333 0.6667 0.6273  9 O 2.80-3.08
3 Ba 0.6667 0.3333 0.3727  9 O 2.80-3.08
4 Tm 0.0000 0.0000 0.5000  6 O 2.22
5 Bi 0.3333 0.6667 0.1253  3 O 2.24
6 Bi 0.6667 0.3333 0.8747  3 O 2.24
7 O 0.1705 0.3410 0.3224  1 Tm 2.22, 1 Bi 2.24
8 O 0.1705 0.8295 0.3224  1 Tm 2.22, 1 Bi 2.24
9 O 0.3410 0.1705 0.6776  1 Tm 2.22, 1 Bi 2.24
10 O 0.6590 0.8295 0.3224  1 Tm 2.22, 1 Bi 2.24
11 O 0.8295 0.1705 0.6776  1 Tm 2.22, 1 Bi 2.24
12 O 0.8295 0.6590 0.6776  1 Tm 2.22, 1 Bi 2.24

***

[3]
# BaTm2Bi2O7

A relaxed structure of BaTm2Bi2O7 (PBE-GGA, Alexandria).

Properties
* raw formation energy: -2346 meV/atom
* DOS at the Fermi energy: 0.0000 states/eV per atom
* symmetry: Imm2 (44)

Cell lengths 9.5114, 9.5114, 9.5114 Å; angles 155.23, 46.52, 141.27 degrees
With the nearest neighbours (Å) after each atom.
Element x y z (fractional)
1 Ba 0.0000 0.0000 0.0000  6 O 2.77-2.94
2 Tm 0.4344 0.0408 0.3935  5 O 2.12-2.36
3 Tm 0.6473 0.0408 0.6065  5 O 2.12-2.36
4 Bi 0.3376 0.6121 0.7255  5 O 2.26-2.37
5 Bi 0.8866 0.6121 0.2745  5 O 2.26-2.37
6 O 0.1089 0.7048 0.4041  1 Tm 2.13, 1 Bi 2.34
7 O 0.2289 0.9679 0.2610  3 Bi 2.26-2.32, 1 Tm 2.36
8 O 0.3007 0.7048 0.5959  1 Tm 2.13, 1 Bi 2.34
9 O 0.5047 0.6440 0.8607  2 Tm 2.22, 1 Bi 2.37
10 O 0.7019 0.2019 0.5000  2 Tm 2.12
11 O 0.7069 0.9679 0.7390  3 Bi 2.26-2.32, 1 Tm 2.36
12 O 0.7833 0.6440 0.1393  2 Tm 2.22, 1 Bi 2.37

***

[4]
# BaTmBi4O8

A relaxed structure of BaTmBi4O8 (PBE-GGA, Alexandria).

Properties
* raw formation energy: -1721 meV/atom
* DOS at the Fermi energy: 0.0996 states/eV per atom
* symmetry: R3m (160)

Cell lengths 7.1462, 7.1462, 7.1462 Å; angles 60.79, 60.79, 60.79 degrees
With the nearest neighbours (Å) after each atom.
Element x y z (fractional)
1 Ba 0.0000 0.0000 0.0000  4 O 2.56-2.59
2 Tm 0.6273 0.6273 0.6273  6 O 2.25-2.31
3 Bi 0.1215 0.6256 0.6256  5 O 2.33-2.57
4 Bi 0.2398 0.2398 0.2398  4 O 2.15-2.37
5 Bi 0.6256 0.1215 0.6256  5 O 2.33-2.58
6 Bi 0.6256 0.6256 0.1215  5 O 2.33-2.57
7 O 0.3631 0.3631 0.3631  1 Bi 2.15
8 O 0.4055 0.4055 0.8448  1 Tm 2.25, 1 Bi 2.37
9 O 0.4055 0.8448 0.4055  1 Tm 2.25, 1 Bi 2.37
10 O 0.4400 0.8534 0.8534  1 Tm 2.31, 2 Bi 2.33
11 O 0.8448 0.4055 0.4055  1 Tm 2.25, 1 Bi 2.37
12 O 0.8534 0.4400 0.8534  1 Tm 2.31, 2 Bi 2.33
13 O 0.8534 0.8534 0.4400  1 Tm 2.31, 2 Bi 2.33
14 O 0.8527 0.8527 0.8527  3 Bi 2.33, 1 Ba 2.56

***

[5]
# BaUBi2O8

A relaxed structure of BaUBi2O8 (PBE-GGA, Alexandria).

Properties
* raw formation energy: -1973 meV/atom
* DOS at the Fermi energy: 0.2862 states/eV per atom
* symmetry: P2/m (10)

Cell lengths 5.3174, 7.3185, 5.3181 Å; angles 90.00, 92.25, 90.00 degrees
With the nearest neighbours (Å) after each atom.
Element x y z (fractional)
1 Ba 0.0000 0.0000 0.0000  6 O 2.56-2.62
2 U 0.0000 0.5000 0.0000  4 O 2.02
3 Bi 0.5000 0.2545 0.5000  6 O 2.25-2.36
4 Bi 0.5000 0.7455 0.5000  6 O 2.25-2.36
5 O 0.1904 0.3016 0.1911  1 U 2.02
6 O 0.1904 0.6984 0.1911  1 U 2.02
7 O 0.3010 0.5000 0.6995  1 U 2.31, 2 Bi 2.36
8 O 0.3353 0.0000 0.6663  2 Bi 2.25
9 O 0.6647 0.0000 0.3337  2 Bi 2.25
10 O 0.6990 0.5000 0.3005  1 U 2.31, 2 Bi 2.36
11 O 0.8096 0.3016 0.8089  1 U 2.02
12 O 0.8096 0.6984 0.8089  1 U 2.02

***

[6]
# BaUBiO6

A relaxed structure of BaUBiO6 (PBE-GGA, Alexandria).

Properties
* raw formation energy: -2353 meV/atom
* DOS at the Fermi energy: 0.6461 states/eV per atom
* symmetry: P-31c (163)

Cell lengths 5.8595, 5.8595, 11.4360 Å; angles 90.00, 90.00, 120.00 degrees
With the nearest neighbours (Å) after each atom.
Element x y z (fractional)
1 Ba 0.0000 0.0000 0.0000  6 O 2.76
2 Ba 0.0000 0.0000 0.5000  6 O 2.76
3 U 0.3333 0.6667 0.2500  6 O 2.11
4 U 0.6667 0.3333 0.7500  6 O 2.11
5 Bi 0.3333 0.6667 0.7500  6 O 2.27
6 Bi 0.6667 0.3333 0.2500  6 O 2.27
7 O 0.0198 0.3836 0.1471  1 U 2.11, 1 Bi 2.27
8 O 0.0198 0.6363 0.3529  1 U 2.11, 1 Bi 2.27
9 O 0.3637 0.3836 0.3529  1 U 2.11, 1 Bi 2.27
10 O 0.3637 0.9802 0.1471  1 U 2.11, 1 Bi 2.27
11 O 0.3836 0.0198 0.6471  1 U 2.11, 1 Bi 2.27
12 O 0.3836 0.3637 0.8529  1 U 2.11, 1 Bi 2.27
13 O 0.6164 0.6363 0.1471  1 U 2.11, 1 Bi 2.27
14 O 0.6164 0.9802 0.3529  1 U 2.11, 1 Bi 2.27
15 O 0.6363 0.0198 0.8529  1 U 2.11, 1 Bi 2.27
16 O 0.6363 0.6164 0.6471  1 U 2.11, 1 Bi 2.27
17 O 0.9802 0.3637 0.6471  1 U 2.11, 1 Bi 2.27
18 O 0.9802 0.6164 0.8529  1 U 2.11, 1 Bi 2.27

***

Question: What is the formula in the fifth record?
Answer: BaUBi2O8